1.
Entry from the Alexandria database: a relaxed YNiRu2 crystal (GGA-PBE).

## Properties
For the density of states at the Fermi level, the calculation gives 10.96 states/eV/cell. The calculation puts the formation energy at 105.2 meV per atom. For the energy above the lowest structure with this stoichiometry, the calculation gives 0.056 eV per atom. The calculated density comes out at 8.9 Mg/m³.

Cell lengths 9.025, 3.060, 4.899 Å; angles 90.00, 104.10, 90.00 degrees
Space group C2/m (No. 12)
One atom of each set of equivalent atoms:
Y  0.000  0.000  0.000
Ni  0.000  0.500  0.500
Ru  0.230  0.000  0.696

2.
Entry from the Alexandria database: a relaxed YNi2Ru crystal (GGA-PBE).

## Properties
For the density of states at the Fermi level, the calculation gives 21.19 states/eV/cell. The calculation puts the formation energy at 512.3 meV per atom. For the energy above the lowest structure with this stoichiometry, the calculation gives 0.698 eV per atom. The calculated density comes out at 8.2 Mg/m³.

Cell lengths 2.8546, 2.8546, 26.4674 Å; angles 90.00, 90.00, 120.00 degrees
Space group R-3m (No. 166, hexagonal axes)
One atom of each set of equivalent atoms:
Y  0.0000  0.0000  0.0000
Ni  0.0000  0.0000  0.2413
Ru  0.0000  0.0000  0.5000

3.
Entry from the Alexandria database: a relaxed YNi3Ru crystal (GGA-PBE).

## Properties
For the density of states at the Fermi level, the calculation gives 6.00 states/eV/cell. The calculation puts the formation energy at 1671.0 meV per atom. For the energy above the lowest structure with this stoichiometry, the calculation gives 1.175 eV per atom. The calculated density comes out at 6.4 Mg/m³.

Cell lengths 4.560, 4.560, 4.560 Å; angles 90.00, 90.00, 90.00 degrees
Space group Pm-3m (No. 221)
One atom of each set of equivalent atoms:
Y  0.000  0.000  0.000
Ni  0.000  0.000  0.500
Ru  0.500  0.500  0.500

4.
Entry from the Alexandria database: a relaxed YNiRu2 crystal (GGA-PBE).

## Properties
For the density of states at the Fermi level, the calculation gives 11.91 states/eV/cell. The calculation puts the formation energy at 193.1 meV per atom. For the energy above the lowest structure with this stoichiometry, the calculation gives 0.144 eV per atom. The calculated density comes out at 9.0 Mg/m³.

Cell lengths 3.947, 3.947, 8.323 Å; angles 90.00, 90.00, 90.00 degrees
Space group I4/mmm (No. 139)
One atom of each set of equivalent atoms:
Y  0.000  0.000  0.000
Ni  0.000  0.000  0.500
Ru  0.000  0.500  0.250

Number 1: E -0.2791 Ha/atom. Number 2: E -0.2320 Ha/atom. Number 3: E -0.1818 Ha/atom. Number 4: E -0.2758 Ha/atom.